# 1
An optimized crystal structure of Cs2TaRe. Source: the Alexandria database, functional PBE.

Output
Formation energy from the elements   1.727 eV/atom
Spin magnetization   0.97 μB per cell

The structure in CIF format:
```
data_Cs2TaRe
_chemical_formula_sum 'Cs8 Ta4 Re4'
_cell_length_a 13.753
_cell_length_b 13.753
_cell_length_c 4.718
_cell_angle_alpha 90.00
_cell_angle_beta 90.00
_cell_angle_gamma 90.00
_space_group_name_H-M_alt 'I -4 2 d'
_space_group_IT_number 122
_space_group_name_Hall 'I -4 2bw'
loop_
_atom_site_label
_atom_site_type_symbol
_atom_site_fract_x
_atom_site_fract_y
_atom_site_fract_z
Cs1 Cs 0.075 0.250 0.125
Ta1 Ta 0.000 0.000 0.500
Re1 Re 0.000 0.000 0.000
```


# 2
An optimized crystal structure of LiSi2Au. Source: the Alexandria database, functional PBE.

Output
ΔE_f (raw)   0.124 eV per atom
Spin magnetization   0.00 μB per cell
Relative energy among the computed polymorphs   226 meV/atom

The structure in CIF format:
```
data_LiSi2Au
_chemical_formula_sum 'Li1 Si2 Au1'
_cell_length_a 2.783
_cell_length_b 2.783
_cell_length_c 8.148
_cell_angle_alpha 90.00
_cell_angle_beta 90.00
_cell_angle_gamma 90.00
_space_group_name_H-M_alt 'P 4/m m m'
_space_group_IT_number 123
_space_group_name_Hall '-P 4 2'
loop_
_atom_site_label
_atom_site_type_symbol
_atom_site_fract_x
_atom_site_fract_y
_atom_site_fract_z
Li1 Li 0.000 0.000 0.000
Si1 Si 0.500 0.500 0.242
Au1 Au 0.000 0.000 0.500
```


# 3
An optimized crystal structure of Tb3GeSb. Source: the Alexandria database, functional PBE.

Output
ΔE_f (raw)   -0.651 eV per atom
Spin magnetization   0.00 μB per cell

The structure in CIF format:
```
data_Tb3GeSb
_chemical_formula_sum 'Tb6 Ge2 Sb2'
_cell_length_a 7.336
_cell_length_b 7.340
_cell_length_c 8.029
_cell_angle_alpha 62.83
_cell_angle_beta 62.85
_cell_angle_gamma 60.06
_space_group_name_H-M_alt 'P -1'
_space_group_IT_number 2
_space_group_name_Hall '-P 1'
loop_
_atom_site_label
_atom_site_type_symbol
_atom_site_fract_x
_atom_site_fract_y
_atom_site_fract_z
Tb1 Tb 0.030 0.301 0.259
Tb2 Tb 0.200 0.089 0.741
Tb3 Tb 0.411 0.529 0.259
Ge1 Ge 0.167 0.667 0.999
Sb1 Sb 0.358 0.858 0.426
```


# 4
An optimized crystal structure of Pm6MgIn5. Source: the Alexandria database, functional PBE.

Output
Formation energy from the elements   -0.446 eV/atom
Spin magnetization   0.00 μB per cell

The structure in CIF format:
```
data_Pm6MgIn5
_chemical_formula_sum 'Pm12 Mg2 In10'
_cell_length_a 5.454
_cell_length_b 16.389
_cell_length_c 7.662
_cell_angle_alpha 90.00
_cell_angle_beta 90.00
_cell_angle_gamma 90.00
_space_group_name_H-M_alt 'C m m m'
_space_group_IT_number 65
_space_group_name_Hall '-C 2 2'
loop_
_atom_site_label
_atom_site_type_symbol
_atom_site_fract_x
_atom_site_fract_y
_atom_site_fract_z
Pm1 Pm 0.000 0.000 0.247
Pm2 Pm 0.000 0.332 0.251
Mg1 Mg 0.000 0.500 0.500
In1 In 0.000 0.160 0.500
In2 In 0.000 0.166 0.000
In3 In 0.000 0.500 0.000
```


# 5
An optimized crystal structure of GaIrSeN2. Source: the Alexandria database, functional PBE.

Output
ΔE_f (raw)   1.619 eV per atom
Spin magnetization   3.34 μB per cell
Relative energy among the computed polymorphs   932 meV/atom

The structure in CIF format:
```
data_GaIrSeN2
_chemical_formula_sum 'Ga1 Ir1 Se1 N2'
_cell_length_a 3.710
_cell_length_b 3.710
_cell_length_c 5.977
_cell_angle_alpha 90.00
_cell_angle_beta 90.00
_cell_angle_gamma 90.00
_space_group_name_H-M_alt 'P 4/m m m'
_space_group_IT_number 123
_space_group_name_Hall '-P 4 2'
loop_
_atom_site_label
_atom_site_type_symbol
_atom_site_fract_x
_atom_site_fract_y
_atom_site_fract_z
Ga1 Ga 0.000 0.000 0.000
Ir1 Ir 0.500 0.500 0.500
Se1 Se 0.000 0.000 0.500
N1 N 0.000 0.500 0.000
```


# 6
An optimized crystal structure of DyMnB2. Source: the Alexandria database, functional PBE.

Output
Formation energy from the elements   -0.167 eV/atom
Spin magnetization   0.00 μB per cell

The structure in CIF format:
```
data_DyMnB2
_chemical_formula_sum 'Dy3 Mn3 B6'
_cell_length_a 3.4974
_cell_length_b 3.4974
_cell_length_c 14.0160
_cell_angle_alpha 90.00
_cell_angle_beta 90.00
_cell_angle_gamma 120.00
_space_group_name_H-M_alt 'R -3 m'
_space_group_IT_number 166
_space_group_name_Hall '-R 3 2"'
loop_
_atom_site_label
_atom_site_type_symbol
_atom_site_fract_x
_atom_site_fract_y
_atom_site_fract_z
Dy1 Dy 0.0000 0.0000 0.0000
Mn1 Mn 0.0000 0.0000 0.5000
B1 B 0.0000 0.0000 0.1978
```


# 7
An optimized crystal structure of IrPb. Source: the Alexandria database, functional PBE.

Output
Formation energy from the elements   0.469 eV/atom
Spin magnetization   0.00 μB per cell

The structure in CIF format:
```
data_IrPb
_chemical_formula_sum 'Ir4 Pb4'
_cell_length_a 10.653
_cell_length_b 3.011
_cell_length_c 5.382
_cell_angle_alpha 90.00
_cell_angle_beta 106.89
_cell_angle_gamma 90.00
_space_group_name_H-M_alt 'C 1 2/m 1'
_space_group_IT_number 12
_space_group_name_Hall '-C 2y'
loop_
_atom_site_label
_atom_site_type_symbol
_atom_site_fract_x
_atom_site_fract_y
_atom_site_fract_z
Ir1 Ir 0.164 0.000 0.335
Pb1 Pb 0.097 0.500 0.814
```


# 8
An optimized crystal structure of CrHgOs. Source: the Alexandria database, functional PBE.

Output
Formation energy from the elements   0.414 eV/atom
Spin magnetization   0.00 μB per cell
Relative energy among the computed polymorphs   0 meV/atom

The structure in CIF format:
```
data_CrHgOs
_chemical_formula_sum 'Cr2 Hg2 Os2'
_cell_length_a 2.890
_cell_length_b 2.890
_cell_length_c 11.484
_cell_angle_alpha 90.00
_cell_angle_beta 90.00
_cell_angle_gamma 90.00
_space_group_name_H-M_alt 'I 4 m m'
_space_group_IT_number 107
_space_group_name_Hall 'I 4 -2'
loop_
_atom_site_label
_atom_site_type_symbol
_atom_site_fract_x
_atom_site_fract_y
_atom_site_fract_z
Cr1 Cr 0.000 0.000 0.000
Hg1 Hg 0.000 0.000 0.685
Os1 Os 0.000 0.000 0.383
```


# 9
An optimized crystal structure of Tl2AgAs. Source: the Alexandria database, functional PBE.

Output
Formation energy from the elements   0.203 eV/atom
Spin magnetization   0.00 μB per cell
Relative energy among the computed polymorphs   191 meV/atom

The structure in CIF format:
```
data_Tl2AgAs
_chemical_formula_sum 'Tl8 Ag4 As4'
_cell_length_a 7.360
_cell_length_b 7.360
_cell_length_c 7.360
_cell_angle_alpha 90.00
_cell_angle_beta 90.00
_cell_angle_gamma 90.00
_space_group_name_H-M_alt 'F m -3 m'
_space_group_IT_number 225
_space_group_name_Hall '-F 4 2 3'
loop_
_atom_site_label
_atom_site_type_symbol
_atom_site_fract_x
_atom_site_fract_y
_atom_site_fract_z
Tl1 Tl 0.250 0.250 0.250
Ag1 Ag 0.000 0.000 0.000
As1 As 0.000 0.000 0.500
```